Y2WO6: relaxed, PBE+U.

Values from the calculation:
* VASP energy: -152.26 eV per cell
* density: 6.01 g cm⁻³
* M_tot: 0.0 μB/f.u.

a = 5.020 Å, b = 5.020 Å, c = 10.033 Å
α = 90.00°, β = 90.00°, γ = 90.00°
Element x y z (fractional)
1 O 0.184 0.816 0.146
2 O 0.316 0.316 0.354
3 O 0.316 0.316 0.646
4 O 0.777 0.223 0.500
5 O 0.684 0.684 0.646
6 O 0.684 0.684 0.354
7 O 0.184 0.816 0.854
8 O 0.723 0.723 0.000
9 O 0.223 0.777 0.500
10 O 0.816 0.184 0.854
11 O 0.277 0.277 0.000
12 O 0.816 0.184 0.146
13 Y 0.000 0.000 0.667
14 Y 0.000 0.000 0.333
15 Y 0.500 0.500 0.833
16 Y 0.500 0.500 0.167
17 W 0.500 0.500 0.500
18 W 0.000 0.000 0.000